Record 1
## PmPr6In2 (GGA-PBE)

Data for a relaxed PmPr6In2 crystal.

The structure belongs to space group C2/m (No. 12); the cell edges are 13.273, 3.904 and 12.266 Å and the angles 90.00°, 108.28° and 90.00°. The inequivalent atoms are Pm at (0.000, 0.000, 0.000), Pr at (0.016, 0.000, 0.338), Pr at (0.184, 0.500, 0.876), Pr at (0.192, 0.500, 0.589) and In at (0.143, 0.500, 0.202).

The size of the total moment is 0.0 μB per cell. The energy relative to the lowest polymorph listed for this composition comes out at 0 meV/atom. For the density of states at the Fermi level, the calculation gives 22.7 states/eV per cell. The energy relative to the elements is -0.196 eV per atom.

Record 2
## Sc4ZnIr (GGA-PBE)

Data for a relaxed Sc4ZnIr crystal.

The structure belongs to space group C2/m (No. 12); the cell edges are 6.464, 6.464 and 6.483 Å and the angles 90.00°, 90.06° and 90.00°. The inequivalent atoms are Sc at (0.250, 0.250, 0.239), Zn at (0.000, 0.000, 0.500) and Ir at (0.000, 0.500, 0.000).

The size of the total moment is 0.0 μB per cell. The energy relative to the lowest polymorph listed for this composition comes out at 115 meV/atom. For the density of states at the Fermi level, the calculation gives 19.3 states/eV per cell. The energy relative to the elements is -0.331 eV per atom.

Record 3
## PrTeH (GGA-PBE)

Data for a relaxed PrTeH crystal.

The structure belongs to space group I4mm (No. 107); the cell edges are 3.788, 3.788 and 10.060 Å and the angles 90.00°, 90.00° and 90.00°. The inequivalent atoms are Pr at (0.000, 0.000, 0.000), Te at (0.000, 0.000, 0.317) and H at (0.000, 0.000, 0.592).

The size of the total moment is 0.0 μB per cell. The energy is -4.34 eV per atom. For the density of states at the Fermi level, the calculation gives 2.1 states/eV per cell.